Material: CaZr2V
Method: DFT, GGA-PBE
State: relaxed

It has space group Fm-3m (No. 225), with a = 7.137 Å, b = 7.137 Å, c = 7.137 Å, α = 90.00°, β = 90.00° and γ = 90.00°. The distinct sites, in fractional coordinates, are Ca at (0.000, 0.000, 0.000), Zr at (0.250, 0.250, 0.250) and V at (0.000, 0.000, 0.500).

For the spin magnetization, the calculation gives 2.5 μB per formula unit. The energy comes out at -6.563 eV/atom. Its density of states at the Fermi level is 3.83 states/eV/f.u. Its crystal system is cubic. For the formation enthalpy at 0 K, the calculation gives 189 kJ/mol of formula units. The mass density is 4996 kg/m3. The energy above the lowest structure with this stoichiometry comes out at 0.017 eV per atom.